Density functional theory data (PBE+U) for an optimized crystal structure of K2VHgF6.

Cell: 9.5054 9.5054 9.5054 Å, 90.00 90.00 90.00°
Space group Fm-3m (No. 225)
Inequivalent atoms, fractional coordinates:
1 K 0.2500 0.2500 0.2500 x8
2 V 0.0000 0.0000 0.0000 x4
3 Hg 0.0000 0.0000 0.5000 x4
4 F 0.0000 0.0000 0.1979 x24

Calculated volume, Å³ per atom: 21.47
Uncorrected energy, eV for the cell shown: -180.08
DOS(E_F), states/eV/atom: 0.843

***

Density functional theory data (PBE+U) for an optimized crystal structure of KVHgF2.

Cell: 4.2823 4.2823 7.0325 Å, 90.00 90.00 90.00°
Space group P4/mmm (No. 123)
Inequivalent atoms, fractional coordinates:
1 K 0.0000 0.0000 0.0000 x1
2 V 0.0000 0.0000 0.5000 x1
3 Hg 0.5000 0.5000 0.0000 x1
4 F 0.0000 0.5000 0.5000 x2

Calculated volume, Å³ per atom: 25.79
Uncorrected energy, eV for the cell shown: -18.42
DOS(E_F), states/eV/atom: 0.572